{"formula": "Li6Cu2C4SO16", "functional": "meta-GGA SCAN", "state": "PBEsol geometry", "formation_energy_uncorrected_ev_per_atom": -1.7060, "density_g_cm3": 3.04, "magmom_total_mub_per_fu": 2.00, "final_energy_ev_per_atom": -8.412, "n_ef_per_ev_atom": 0.417, "space_group": "Fd-3, No. 203", "cell": [[9.202, 0.000, 0.000], [4.601, 7.969, 0.000], [4.601, 2.656, 7.513]], "species": ["Li", "Li", "Li", "Li", "Li", "Li", "Li", "Li", "Li", "Li", "Li", "Li", "O", "O", "O", "O", "O", "O", "O", "O", "O", "O", "O", "O", "O", "O", "O", "O", "O", "O", "O", "O", "O", "O", "O", "O", "O", "O", "O", "O", "O", "O", "O", "O", "C", "C", "C", "C", "C", "C", "C", "C", "Cu", "Cu", "Cu", "Cu", "S", "S"], "fractional_positions": [[0.717, 0.717, 0.283], [0.967, 0.533, 0.533], [0.717, 0.283, 0.283], [0.717, 0.283, 0.717], [0.533, 0.967, 0.967], [0.967, 0.967, 0.533], [0.283, 0.717, 0.717], [0.283, 0.717, 0.283], [0.967, 0.533, 0.967], [0.283, 0.283, 0.717], [0.533, 0.533, 0.967], [0.533, 0.967, 0.533], [0.342, 0.494, 0.950], [0.756, 0.300, 0.908], [0.036, 0.908, 0.300], [0.566, 0.566, 0.302], [0.684, 0.948, 0.684], [0.214, 0.950, 0.494], [0.214, 0.342, 0.950], [0.950, 0.494, 0.214], [0.494, 0.342, 0.214], [0.950, 0.214, 0.342], [0.684, 0.684, 0.948], [0.908, 0.756, 0.300], [0.036, 0.756, 0.908], [0.300, 0.756, 0.036], [0.214, 0.494, 0.342], [0.036, 0.300, 0.756], [0.342, 0.214, 0.494], [0.494, 0.214, 0.950], [0.300, 0.036, 0.908], [0.908, 0.036, 0.756], [0.566, 0.566, 0.566], [0.948, 0.684, 0.684], [0.908, 0.300, 0.036], [0.302, 0.566, 0.566], [0.300, 0.908, 0.756], [0.566, 0.302, 0.566], [0.494, 0.950, 0.342], [0.342, 0.950, 0.214], [0.756, 0.036, 0.300], [0.950, 0.342, 0.494], [0.684, 0.684, 0.684], [0.756, 0.908, 0.036], [0.901, 0.298, 0.901], [0.349, 0.952, 0.349], [0.349, 0.349, 0.349], [0.349, 0.349, 0.952], [0.952, 0.349, 0.349], [0.901, 0.901, 0.901], [0.901, 0.901, 0.298], [0.298, 0.901, 0.901], [0.125, 0.125, 0.625], [0.625, 0.125, 0.125], [0.125, 0.125, 0.125], [0.125, 0.625, 0.125], [0.750, 0.750, 0.750], [0.500, 0.500, 0.500]]}